Entry 1:
This record from Alexandria describes a relaxed structure of Cr2PtBr. The functional is PBE-GGA.

Properties
ΔE_f (raw)   149 meV/atom
Magnetic moment   8.08 Bohr magnetons per cell

abc: 3.3157 3.2423 7.1623
angles: 90.00 90.11 90.00
Sites, in units of the cell vectors:
1 Cr 0.0011 0.0000 0.2001
2 Cr 0.9989 0.0000 0.7999
3 Pt 0.5000 0.5000 0.0000
4 Br 0.0000 0.5000 0.5000

Entry 2:
This record from Alexandria describes a relaxed structure of Li2Sm2HoIn5. The functional is PBE-GGA.

Properties
DFT formation energy   -0.4065 eV/atom
Magnetic moment   0.00 Bohr magnetons per cell

abc: 10.3117 10.3117 4.4945
angles: 90.00 90.00 90.00
Sites, in units of the cell vectors:
1 Li 0.1171 0.3829 0.0000
2 Li 0.3829 0.8829 0.0000
3 Li 0.6171 0.1171 0.0000
4 Li 0.8829 0.6171 0.0000
5 Sm 0.1771 0.6771 0.0000
6 Sm 0.3229 0.1771 0.0000
7 Sm 0.6771 0.8229 0.0000
8 Sm 0.8229 0.3229 0.0000
9 Ho 0.0000 0.0000 0.0000
10 Ho 0.5000 0.5000 0.0000
11 In 0.0000 0.5000 0.5000
12 In 0.0699 0.2111 0.5000
13 In 0.2111 0.9301 0.5000
14 In 0.2889 0.4301 0.5000
15 In 0.4301 0.7111 0.5000
16 In 0.5000 0.0000 0.5000
17 In 0.5699 0.2889 0.5000
18 In 0.7111 0.5699 0.5000
19 In 0.7889 0.0699 0.5000
20 In 0.9301 0.7889 0.5000

Entry 3:
This record from Alexandria describes a relaxed structure of Nd3Dy4Sc. The functional is PBE-GGA.

Properties
DFT formation energy   0.0337 eV/atom
Magnetic moment   0.00 Bohr magnetons per cell

abc: 11.3773 7.2673 6.2525
angles: 90.00 90.00 90.00
Sites, in units of the cell vectors:
1 Nd 0.0000 0.1264 0.0000
2 Nd 0.2498 0.1234 0.3321
3 Nd 0.2502 0.8766 0.8321
4 Nd 0.5000 0.8736 0.5000
5 Nd 0.7502 0.1234 0.3321
6 Nd 0.7498 0.8766 0.8321
7 Dy 0.0000 0.3759 0.5038
8 Dy 0.0000 0.6238 0.9993
9 Dy 0.2444 0.6247 0.3379
10 Dy 0.2556 0.3753 0.8379
11 Dy 0.5000 0.3762 0.4993
12 Dy 0.5000 0.6241 0.0038
13 Dy 0.7444 0.3753 0.8379
14 Dy 0.7556 0.6247 0.3379
15 Sc 0.0000 0.8703 0.4973
16 Sc 0.5000 0.1297 0.9973

Entry 4:
This record from Alexandria describes a relaxed structure of LiCaOs2. The functional is PBE-GGA.

Properties
DFT formation energy   0.6392 eV/atom
Magnetic moment   0.39 Bohr magnetons per cell

abc: 2.6704 2.6704 9.0510
angles: 90.00 90.00 90.00
Sites, in units of the cell vectors:
1 Li 0.0000 0.0000 0.0000
2 Ca 0.0000 0.0000 0.5000
3 Os 0.5000 0.5000 0.2320
4 Os 0.5000 0.5000 0.7680